*a*
The following is a DFT calculation (GGA-PBE) of a relaxed Tm3Pu crystal.

a = 3.443 Å, b = 5.596 Å, c = 6.077 Å
α = 90.00°, β = 90.00°, γ = 90.00°
Last column: magnetic moment on the atom in μB.
Fractional positions:
Tm1 0.000 0.000 0.007  0.15
Tm2 0.500 0.000 0.501  0.23
Tm3 0.500 0.500 0.829  0.26
Pu1 0.000 0.500 0.330  5.56

Values from the calculation:
Space-group type: Pmm2 (25)
Fermi-level density of states in states/eV/cell: 10.942



*b*
The following is a DFT calculation (GGA-PBE) of a relaxed Tm3Pu crystal.

a = 3.437 Å, b = 9.564 Å, c = 9.564 Å
α = 110.45°, β = 111.03°, γ = 111.03°
Last column: magnetic moment on the atom in μB.
Fractional positions:
Tm1 0.250 0.740 0.260  0.18
Tm2 0.750 0.260 0.740  0.18
Tm3 0.862 0.903 0.709  0.08
Tm4 0.138 0.097 0.291  0.08
Tm5 0.362 0.709 0.903  0.08
Tm6 0.638 0.291 0.097  0.08
Pu1 0.250 0.450 0.550  0.98
Pu2 0.750 0.550 0.450  0.98

Values from the calculation:
Space-group type: C2/c (15)
Fermi-level density of states in states/eV/cell: 15.417



List of relative energies, unit meV per atom: *a* 0; *b* 181



*a*
The following is a DFT calculation (GGA-PBE) of a relaxed TmPu crystal.

a = 3.178 Å, b = 3.586 Å, c = 8.593 Å
α = 90.00°, β = 87.64°, γ = 90.00°
Fractional positions:
Tm1 0.240 0.750 0.653
Tm2 0.760 0.250 0.347
Pu1 0.354 0.750 0.068
Pu2 0.646 0.250 0.932

Values from the calculation:
Space-group type: P2_1/m (11)
Fermi-level density of states in states/eV/cell: 6.479



*b*
The following is a DFT calculation (GGA-PBE) of a relaxed TmPu crystal.

a = 3.845 Å, b = 3.845 Å, c = 3.845 Å
α = 90.00°, β = 90.00°, γ = 90.00°
Last column: magnetic moment on the atom in μB.
Fractional positions:
Tm1 0.500 0.500 0.500  0.37
Pu1 0.000 0.000 0.000  5.54

Values from the calculation:
Space-group type: Pm-3m (221)
Fermi-level density of states in states/eV/cell: 6.041



List of relative energies, unit meV per atom: *a* 0; *b* 56



*a*
The following is a DFT calculation (GGA-PBE) of a relaxed YTm2Pu crystal.

a = 3.514 Å, b = 3.514 Å, c = 11.433 Å
α = 81.16°, β = 81.16°, γ = 60.00°
Last column: magnetic moment on the atom in μB.
Fractional positions:
Y1 0.501 0.501 0.498  0.14
Tm1 0.082 0.082 0.754  -0.02
Tm2 0.251 0.251 0.246  -0.06
Pu1 0.666 0.666 0.002  -5.56

Values from the calculation:
Space-group type: R3m (160)
Fermi-level density of states in states/eV/cell: 11.017



*b*
The following is a DFT calculation (GGA-PBE) of a relaxed YTm2Pu crystal.

a = 3.477 Å, b = 3.477 Å, c = 9.888 Å
α = 90.00°, β = 90.00°, γ = 90.00°
Last column: magnetic moment on the atom in μB.
Fractional positions:
Y1 0.500 0.500 0.500  -0.07
Tm1 0.000 0.000 0.757  0.18
Tm2 0.000 0.000 0.243  0.18
Pu1 0.500 0.500 0.000  5.55

Values from the calculation:
Space-group type: P4/mmm (123)
Fermi-level density of states in states/eV/cell: 10.247



*c*
The following is a DFT calculation (GGA-PBE) of a relaxed YTm2Pu crystal.

a = 5.543 Å, b = 5.543 Å, c = 5.543 Å
α = 60.00°, β = 60.00°, γ = 60.00°
Last column: magnetic moment on the atom in μB.
Fractional positions:
Y1 0.500 0.500 0.500  0.08
Tm1 0.250 0.250 0.250  0.21
Tm2 0.750 0.750 0.750  0.21
Pu1 0.000 0.000 0.000  5.52

Values from the calculation:
Space-group type: Fm-3m (225)
Fermi-level density of states in states/eV/cell: 9.537



*d*
The following is a DFT calculation (GGA-PBE) of a relaxed YTm2Pu crystal.

a = 3.482 Å, b = 3.482 Å, c = 11.565 Å
α = 81.34°, β = 81.34°, γ = 60.00°
Last column: magnetic moment on the atom in μB.
Fractional positions:
Y1 0.500 0.500 0.500  -0.04
Tm1 0.251 0.251 0.246  0.05
Tm2 0.749 0.749 0.754  0.05
Pu1 0.000 0.000 0.000  5.51

Values from the calculation:
Space-group type: R-3m (166)
Fermi-level density of states in states/eV/cell: 12.012



List of relative energies, unit meV per atom: *a* 0; *b* 6; *c* 94; *d* 18



*a*
The following is a DFT calculation (GGA-PBE) of a relaxed Y12Tm7Pu crystal.

a = 6.085 Å, b = 11.294 Å, c = 11.294 Å
α = 116.85°, β = 100.35°, γ = 100.35°
Last column: magnetic moment on the atom in μB.
Fractional positions:
Y1 0.084 0.583 0.171  -0.03
Y2 0.087 0.171 0.588  -0.03
Y3 0.572 0.651 0.005  -0.05
Y4 0.434 0.005 0.354  -0.05
Y5 0.498 0.412 0.583  -0.03
Y6 0.080 0.646 0.651  -0.05
Y7 0.920 0.354 0.349  -0.05
Y8 0.502 0.588 0.417  -0.03
Y9 0.566 0.995 0.646  -0.05
Y10 0.428 0.349 0.995  -0.05
Y11 0.913 0.829 0.412  -0.03
Y12 0.916 0.417 0.829  -0.03
Tm1 0.114 0.762 0.005  0.07
Tm2 0.892 0.005 0.243  0.07
Tm3 0.648 0.757 0.762  0.07
Tm4 0.500 0.000 0.000  0.28
Tm5 0.352 0.243 0.238  0.07
Tm6 0.108 0.995 0.757  0.07
Tm7 0.886 0.238 0.995  0.07
Pu1 0.000 0.000 0.000  5.58

Values from the calculation:
Space-group type: R-3 (148)
Fermi-level density of states in states/eV/cell: 33.983



*b*
The following is a DFT calculation (GGA-PBE) of a relaxed Y12Tm7Pu crystal.

a = 8.728 Å, b = 8.728 Å, c = 8.728 Å
α = 99.59°, β = 99.59°, γ = 99.59°
Last column: magnetic moment on the atom in μB.
Fractional positions:
Y1 0.898 0.335 0.897  -0.04
Y2 0.665 0.103 0.102  -0.04
Y3 0.760 0.240 0.500  -0.07
Y4 0.760 0.500 0.240  -0.07
Y5 0.103 0.102 0.665  -0.04
Y6 0.500 0.240 0.760  -0.07
Y7 0.500 0.760 0.240  -0.07
Y8 0.897 0.898 0.335  -0.04
Y9 0.240 0.500 0.760  -0.07
Y10 0.240 0.760 0.500  -0.07
Y11 0.335 0.897 0.898  -0.04
Y12 0.102 0.665 0.103  -0.04
Tm1 0.914 0.651 0.651  -0.01
Tm2 0.349 0.349 0.086  -0.01
Tm3 0.349 0.086 0.349  -0.01
Tm4 0.500 0.500 0.500  -0.02
Tm5 0.651 0.914 0.651  -0.01
Tm6 0.651 0.651 0.914  -0.01
Tm7 0.086 0.349 0.349  -0.01
Pu1 0.000 0.000 0.000  5.79

Values from the calculation:
Space-group type: R-3m (166)
Fermi-level density of states in states/eV/cell: 36.321



List of relative energies, unit meV per atom: *a* 136; *b* 0



*a*
The following is a DFT calculation (GGA-PBE) of a relaxed YTmPu crystal.

a = 5.531 Å, b = 5.530 Å, c = 6.802 Å
α = 90.00°, β = 90.00°, γ = 120.00°
Last column: magnetic moment on the atom in μB.
Fractional positions:
Pu1 0.667 0.334 0.750  5.51
Pu2 0.333 0.666 0.250  5.51
Tm1 0.667 0.333 0.250  0.37
Tm2 0.333 0.667 0.750  0.37
Y1 0.000 0.000 0.000  0.12
Y2 0.000 0.000 0.500  0.12

Values from the calculation:
Space-group type: P6_3/mmc (194)
Fermi-level density of states in states/eV/cell: 26.375



*b*
The following is a DFT calculation (GGA-PBE) of a relaxed YTmPu crystal.

a = 3.488 Å, b = 3.488 Å, c = 7.776 Å
α = 102.96°, β = 102.96°, γ = 90.00°
Last column: magnetic moment on the atom in μB.
Fractional positions:
Y1 0.998 0.998 0.997  0.00
Tm1 0.670 0.670 0.340  0.07
Pu1 0.332 0.332 0.663  5.61

Values from the calculation:
Space-group type: I4mm (107)
Fermi-level density of states in states/eV/cell: 7.132



List of relative energies, unit meV per atom: *a* 130; *b* 0



*a*
The following is a DFT calculation (GGA-PBE) of a relaxed Tm2PuZn crystal.

a = 3.435 Å, b = 3.435 Å, c = 8.585 Å
α = 90.00°, β = 90.00°, γ = 90.00°
Last column: magnetic moment on the atom in μB.
Fractional positions:
Zn1 0.500 0.500 0.000  0.01
Tm1 0.000 0.000 0.788  0.23
Tm2 0.000 0.000 0.212  0.23
Pu1 0.500 0.500 0.500  5.54

Values from the calculation:
Space-group type: P4/mmm (123)
Fermi-level density of states in states/eV/cell: 9.343



*b*
The following is a DFT calculation (GGA-PBE) of a relaxed Tm2PuZn crystal.

a = 3.374 Å, b = 3.374 Å, c = 11.255 Å
α = 81.38°, β = 81.38°, γ = 60.00°
Last column: magnetic moment on the atom in μB.
Fractional positions:
Zn1 0.500 0.500 0.500  0.01
Tm1 0.099 0.099 0.703  0.06
Tm2 0.901 0.901 0.297  0.06
Pu1 0.000 0.000 0.000  5.80

Values from the calculation:
Space-group type: R-3m (166)
Fermi-level density of states in states/eV/cell: 10.716



*c*
The following is a DFT calculation (GGA-PBE) of a relaxed Tm2PuZn crystal.

a = 3.484 Å, b = 3.484 Å, c = 10.291 Å
α = 80.25°, β = 80.25°, γ = 59.99°
Last column: magnetic moment on the atom in μB.
Fractional positions:
Tm1 0.074 0.074 0.779  0.14
Tm2 0.260 0.260 0.221  0.12
Pu1 0.500 0.500 0.500  5.60
Zn1 0.666 0.666 0.001  -0.01

Values from the calculation:
Space-group type: R3m (160)
Fermi-level density of states in states/eV/cell: 9.150



*d*
The following is a DFT calculation (GGA-PBE) of a relaxed Tm2PuZn crystal.

a = 3.519 Å, b = 5.275 Å, c = 5.275 Å
α = 90.00°, β = 90.00°, γ = 90.00°
Last column: magnetic moment on the atom in μB.
Fractional positions:
Zn1 0.500 0.500 0.500  -0.02
Tm1 0.000 0.000 0.500  0.27
Tm2 0.000 0.500 0.000  0.27
Pu1 0.500 0.000 0.000  5.48

Values from the calculation:
Space-group type: P4/mmm (123)
Fermi-level density of states in states/eV/cell: 8.856



List of relative energies, unit meV per atom: *a* 0; *b* 289; *c* 91; *d* 120



*a*
The following is a DFT calculation (GGA-PBE) of a relaxed TmPuZn crystal.

a = 3.455 Å, b = 3.455 Å, c = 6.636 Å
α = 105.09°, β = 105.09°, γ = 90.00°
Last column: magnetic moment on the atom in μB.
Fractional positions:
Zn1 0.671 0.671 0.342  0.01
Tm1 0.313 0.313 0.626  0.26
Pu1 0.016 0.016 0.032  5.54

Values from the calculation:
Space-group type: I4mm (107)
Fermi-level density of states in states/eV/cell: 7.025



*b*
The following is a DFT calculation (GGA-PBE) of a relaxed TmPuZn crystal.

a = 3.602 Å, b = 4.915 Å, c = 8.164 Å
α = 90.00°, β = 102.74°, γ = 90.00°
Last column: magnetic moment on the atom in μB.
Fractional positions:
Tm1 0.423 0.250 0.847  0.04
Tm2 0.577 0.750 0.153  0.04
Zn1 0.918 0.750 0.837  0.00
Zn2 0.082 0.250 0.163  0.00
Pu1 0.737 0.250 0.475  5.47
Pu2 0.263 0.750 0.525  5.47

Values from the calculation:
Space-group type: Cmcm (63)
Fermi-level density of states in states/eV/cell: 16.045



List of relative energies, unit meV per atom: *a* 42; *b* 0



*a*
The following is a DFT calculation (GGA-PBE) of a relaxed TmPuZn4 crystal.

a = 4.584 Å, b = 4.584 Å, c = 6.477 Å
α = 89.99°, β = 90.01°, γ = 120.00°
Last column: magnetic moment on the atom in μB.
Fractional positions:
Tm1 0.004 0.499 0.998  0.16
Pu1 0.004 0.499 0.498  5.33
Zn1 0.670 0.832 0.246  0.00
Zn2 0.338 0.166 0.750  0.00
Zn3 0.671 0.833 0.750  0.00
Zn4 0.337 0.166 0.246  0.00

Values from the calculation:
Space-group type: P6/mmm (191)
Fermi-level density of states in states/eV/cell: 13.585



*b*
The following is a DFT calculation (GGA-PBE) of a relaxed TmPuZn4 crystal.

a = 5.439 Å, b = 5.439 Å, c = 5.439 Å
α = 60.00°, β = 60.00°, γ = 60.00°
Last column: magnetic moment on the atom in μB.
Fractional positions:
Zn1 0.625 0.625 0.125  -0.01
Zn2 0.625 0.125 0.625  -0.01
Zn3 0.625 0.625 0.625  -0.01
Zn4 0.125 0.625 0.625  -0.01
Tm1 0.000 0.000 0.000  0.09
Pu1 0.250 0.250 0.250  5.30

Values from the calculation:
Space-group type: F-43m (216)
Fermi-level density of states in states/eV/cell: 9.440



List of relative energies, unit meV per atom: *a* 5; *b* 0